An optimized crystal structure of Tc2MoBr, computed with PBEsol.

Lattice parameters (Å, degrees): 2.920 4.085 5.306 90.00 104.50 90.00
Element x y z (fractional)
Mo1 0.500 0.500 0.500
Tc1 0.125 0.000 0.737
Br1 0.500 0.500 0.000
Tc2 0.875 0.000 0.263

## Properties
Space-group type: No. 10
Formation energy from raw total energies (kJ/mol of formula units): 253
Relative energy among the computed polymorphs (kJ/mol of formula units): 3